Arrangement A

5
Lattice="5.397 0.000 0.000 0.000 5.397 0.000 0.000 0.000 5.838" Properties=species:S:1:pos:R:3 comment="GGA-PBE RbNaLi2Ag, optimized geometry" magnetic_moment_mub_per_atom=0.00 sg=P4/mmm pbc="T T T"
Rb 0.000 0.000 0.000
Na 2.698 2.698 0.000
Li 0.000 2.698 2.919
Li 2.698 0.000 2.919
Ag 2.698 2.698 2.919

***

Arrangement B

5
Lattice="5.616 0.000 0.000 0.000 5.616 0.000 0.000 0.000 5.687" Properties=species:S:1:pos:R:3 comment="GGA-PBE RbNaLi2Ag, optimized geometry" magnetic_moment_mub_per_atom=0.00 sg=P4/mmm pbc="T T T"
Rb 0.000 0.000 0.000
Na 2.808 2.808 2.844
Li 0.000 2.808 2.844
Li 2.808 0.000 2.844
Ag 2.808 2.808 0.000

***

Most stable structure: arrangement A

***

Arrangement A

5
Lattice="5.868 0.000 0.000 0.000 5.868 0.000 0.000 0.000 5.217" Properties=species:S:1:pos:R:3 comment="GGA-PBE RbNa2LiAg, optimized geometry" magnetic_moment_mub_per_atom=0.00 sg=P4/mmm pbc="T T T"
Rb 0.000 0.000 0.000
Na 0.000 2.934 2.609
Na 2.934 0.000 2.609
Li 2.934 2.934 2.609
Ag 2.934 2.934 0.000

***

Arrangement B

5
Lattice="5.905 0.000 0.000 0.000 5.905 0.000 0.000 0.000 5.414" Properties=species:S:1:pos:R:3 comment="GGA-PBE RbNa2LiAg, optimized geometry" magnetic_moment_mub_per_atom=0.00 sg=P4/mmm pbc="T T T"
Rb 0.000 0.000 0.000
Na 0.000 2.952 2.707
Na 2.952 0.000 2.707
Li 2.952 2.952 0.000
Ag 2.952 2.952 2.707

***

Most stable structure: arrangement B

***

Arrangement A

5
Lattice="5.207 0.000 0.000 0.000 5.207 0.000 0.000 0.000 5.572" Properties=species:S:1:pos:R:3 comment="GGA-PBE NaSrLi2Ag, optimized geometry" magnetic_moment_mub_per_atom=0.00 sg=P4/mmm pbc="T T T"
Na 0.000 0.000 0.000
Sr 2.604 2.604 0.000
Li 0.000 2.604 2.786
Li 2.604 0.000 2.786
Ag 0.000 0.000 2.786

***

Arrangement B

5
Lattice="5.294 0.000 0.000 0.000 5.294 0.000 0.000 0.000 6.051" Properties=species:S:1:pos:R:3 comment="GGA-PBE NaSrLi2Ag, optimized geometry" magnetic_moment_mub_per_atom=0.00 sg=P4/mmm pbc="T T T"
Na 0.000 0.000 0.000
Sr 2.647 2.647 0.000
Li 0.000 2.647 3.025
Li 2.647 0.000 3.025
Ag 2.647 2.647 3.025

***

Most stable structure: arrangement A

***

Arrangement A

5
Lattice="6.185 0.000 0.000 0.000 6.185 0.000 0.000 0.000 5.602" Properties=species:S:1:pos:R:3 comment="GGA-PBE NaSr2LiAg, optimized geometry" magnetic_moment_mub_per_atom=0.00 sg=P4/mmm pbc="T T T"
Na 0.000 0.000 0.000
Sr 0.000 3.092 2.801
Sr 3.092 0.000 2.801
Li 3.092 3.092 0.000
Ag 0.000 0.000 2.801

***

Arrangement B

5
Lattice="6.244 0.000 0.000 0.000 6.244 0.000 0.000 0.000 5.128" Properties=species:S:1:pos:R:3 comment="GGA-PBE NaSr2LiAg, optimized geometry" magnetic_moment_mub_per_atom=0.00 sg=P4/mmm pbc="T T T"
Na 0.000 0.000 0.000
Sr 0.000 3.122 2.564
Sr 3.122 0.000 2.564
Li 3.122 3.122 0.000
Ag 3.122 3.122 2.564

***

Most stable structure: arrangement B

***

Arrangement A

5
Lattice="4.434 0.000 0.000 0.000 4.434 0.000 0.000 0.000 4.434" Properties=species:S:1:pos:R:3 comment="GGA-PBE LiNb3Ag, optimized geometry" magnetic_moment_mub_per_atom=0.00 sg=Pm-3m pbc="T T T"
Li 0.000 0.000 0.000
Nb 0.000 0.000 2.217
Nb 0.000 2.217 0.000
Nb 2.217 0.000 0.000
Ag 2.217 2.217 2.217

***

Arrangement B

5
Lattice="4.992 0.000 0.000 0.000 4.992 0.000 0.000 0.000 4.992" Properties=species:S:1:pos:R:3 comment="GGA-PBE LiNb3Ag, optimized geometry" magnetic_moment_mub_per_atom=0.24 sg=Pm-3m pbc="T T T"
Li 0.000 0.000 0.000
Nb 0.000 2.496 2.496
Nb 2.496 0.000 2.496
Nb 2.496 2.496 0.000
Ag 2.496 2.496 2.496

***

Most stable structure: arrangement A

***

Arrangement A

20
Lattice="5.733 0.000 0.000 0.000 13.170 0.000 0.000 0.000 5.663" Properties=species:S:1:pos:R:3 comment="GGA-PBE LiNdAg3, optimized geometry" magnetic_moment_mub_per_atom=0.00 sg=Pnma pbc="T T T"
Li 1.064 3.292 0.990
Li 1.803 9.877 3.822
Li 3.930 3.292 1.841
Li 4.669 9.877 4.672
Nd 0.000 0.000 0.000
Nd 0.000 6.585 0.000
Nd 2.866 0.000 2.831
Nd 2.866 6.585 2.831
Ag 0.012 1.434 2.774
Ag 0.012 5.151 2.774
Ag 0.986 9.877 0.972
Ag 1.880 3.292 3.803
Ag 2.854 8.018 5.606
Ag 2.854 11.736 5.606
Ag 2.878 1.434 0.057
Ag 2.878 5.151 0.057
Ag 3.853 9.877 1.859
Ag 4.746 3.292 4.691
Ag 5.721 8.018 2.888
Ag 5.721 11.736 2.888

***

Arrangement B

10
Lattice="3.191 -5.348 0.000 3.191 5.348 0.000 0.000 0.000 6.265" Properties=species:S:1:pos:R:3 comment="GGA-PBE LiNdAg3, optimized geometry" magnetic_moment_mub_per_atom=0.00 sg=Cmcm pbc="T T T"
Li 3.191 4.318 4.698
Li 3.191 -4.318 1.566
Nd 3.191 2.841 1.566
Nd 3.191 -2.841 4.698
Ag 1.727 0.000 0.000
Ag 1.727 0.000 3.132
Ag 3.191 1.827 4.698
Ag 3.191 -1.827 1.566
Ag 4.655 0.000 0.000
Ag 4.655 0.000 3.132

***

Most stable structure: arrangement A

***

Arrangement A

9
Lattice="6.304 0.000 0.000 -3.152 5.459 0.000 0.000 0.000 5.673" Properties=species:S:1:pos:R:3 comment="GGA-PBE LiNd2Ag6, optimized geometry" magnetic_moment_mub_per_atom=0.00 sg=P-3m1 pbc="T T T"
Li 0.000 0.000 0.000
Nd 0.000 3.639 0.974
Nd 3.152 1.820 4.699
Ag 0.000 1.942 3.891
Ag -1.470 4.488 3.891
Ag 1.682 0.971 1.782
Ag 1.470 4.488 3.891
Ag 4.621 0.971 1.782
Ag 3.152 3.517 1.782

***

Arrangement B

9
Lattice="8.457 0.000 0.000 -4.228 7.324 0.000 0.000 0.000 3.224" Properties=species:S:1:pos:R:3 comment="GGA-PBE LiNd2Ag6, optimized geometry" magnetic_moment_mub_per_atom=0.00 sg=P6/mmm pbc="T T T"
Li 0.000 0.000 0.000
Nd 0.000 4.883 0.000
Nd 4.228 2.441 0.000
Ag -1.385 2.400 1.612
Ag -2.843 4.924 1.612
Ag 2.771 0.000 1.612
Ag 1.385 2.400 1.612
Ag 5.686 0.000 1.612
Ag 2.843 4.924 1.612

***

Most stable structure: arrangement A

***

Arrangement A

9
Lattice="5.278 -2.257 0.000 5.278 2.257 0.000 -1.160 0.000 9.144" Properties=species:S:1:pos:R:3 comment="GGA-PBE Li2Nd3Ag4, optimized geometry" magnetic_moment_mub_per_atom=0.00 sg=C2/m pbc="T T T"
Li 1.570 0.000 2.598
Li 7.825 0.000 6.546
Nd 0.300 0.000 8.089
Nd 4.698 0.000 4.572
Nd 9.095 0.000 1.056
Ag 1.612 0.000 5.334
Ag 3.402 0.000 7.850
Ag 5.993 0.000 1.295
Ag 7.783 0.000 3.810

***

Arrangement B

9
Lattice="5.428 -2.405 0.000 5.428 2.405 0.000 -3.958 0.000 8.075" Properties=species:S:1:pos:R:3 comment="GGA-PBE Li2Nd3Ag4, optimized geometry" magnetic_moment_mub_per_atom=0.00 sg=C2/m pbc="T T T"
Li 0.384 0.000 2.568
Li 6.514 0.000 5.507
Nd -1.073 0.000 5.511
Nd 5.428 0.000 0.000
Nd 7.971 0.000 2.564
Ag 2.133 0.000 0.521
Ag 2.207 0.000 4.844
Ag 4.690 0.000 3.231
Ag 4.765 0.000 7.554

***

Most stable structure: arrangement B

***

Arrangement A

3
Lattice="0.000 3.473 3.473 3.473 0.000 3.473 3.473 3.473 0.000" Properties=species:S:1:pos:R:3 comment="GGA-PBE LiNdAg, optimized geometry" magnetic_moment_mub_per_atom=0.00 sg=F-43m pbc="T T T"
Li 0.000 0.000 0.000
Nd 3.473 3.473 3.473
Ag 5.210 5.210 5.210

***

Arrangement B

6
Lattice="2.710 -4.160 0.000 2.710 4.160 0.000 0.000 0.000 6.218" Properties=species:S:1:pos:R:3 comment="GGA-PBE LiNdAg, optimized geometry" magnetic_moment_mub_per_atom=0.20 sg=Cmcm pbc="T T T"
Li 2.710 2.360 4.664
Li 2.710 -2.360 1.555
Nd 2.710 2.909 1.555
Nd 2.710 -2.909 4.664
Ag 2.710 0.000 0.000
Ag 2.710 0.000 3.109

***

Arrangement C

3
Lattice="-1.824 1.824 5.211 1.824 -1.824 5.211 1.824 1.824 -5.211" Properties=species:S:1:pos:R:3 comment="GGA-PBE LiNdAg, optimized geometry" magnetic_moment_mub_per_atom=0.09 sg=I4mm pbc="T T T"
Li 0.000 0.000 0.000
Nd 0.000 0.000 3.101
Ag 0.000 0.000 6.371

***

Most stable structure: arrangement C

***

Arrangement A

12
Lattice="8.228 0.000 0.000 0.000 8.228 0.000 0.000 0.000 4.260" Properties=species:S:1:pos:R:3 comment="GGA-PBE LiNdAg, optimized geometry" magnetic_moment_mub_per_atom=0.00 sg=P4_2/m pbc="T T T"
Li 0.696 6.978 0.000
Li 1.250 0.696 2.130
Li 6.978 7.532 2.130
Li 7.532 1.250 0.000
Nd 1.948 3.485 0.000
Nd 3.485 6.280 2.130
Nd 4.743 1.948 2.130
Nd 6.280 4.743 0.000
Ag 0.461 5.440 2.130
Ag 2.787 0.461 0.000
Ag 5.440 7.767 0.000
Ag 7.767 2.787 2.130

***

Arrangement B

6
Lattice="3.629 0.000 0.000 0.000 3.652 0.000 0.000 0.000 10.590" Properties=species:S:1:pos:R:3 comment="GGA-PBE LiNdAg, optimized geometry" magnetic_moment_mub_per_atom=0.00 sg=Pmmn pbc="T T T"
Li 0.907 0.913 0.739
Li 2.722 2.739 9.851
Nd 0.907 0.913 3.986
Nd 2.722 2.739 6.603
Ag 0.907 0.913 8.528
Ag 2.722 2.739 2.062

***

Most stable structure: arrangement B

***

Arrangement A

4
Lattice="0.000 3.543 3.543 3.543 0.000 3.543 3.543 3.543 0.000" Properties=species:S:1:pos:R:3 comment="GGA-PBE LiNdTlAg, optimized geometry" magnetic_moment_mub_per_atom=0.00 sg=F-43m pbc="T T T"
Li 0.000 0.000 0.000
Nd 5.315 5.315 5.315
Tl 1.772 1.772 1.772
Ag 3.543 3.543 3.543

***

Arrangement B

4
Lattice="0.000 3.634 3.634 3.634 0.000 3.634 3.634 3.634 0.000" Properties=species:S:1:pos:R:3 comment="GGA-PBE LiNdTlAg, optimized geometry" magnetic_moment_mub_per_atom=0.00 sg=F-43m pbc="T T T"
Li 0.000 0.000 0.000
Nd 3.634 3.634 3.634
Tl 1.817 1.817 1.817
Ag 5.452 5.452 5.452

***

Most stable structure: arrangement A

***

Arrangement A

3
Lattice="-1.343 1.959 4.005 1.343 -1.959 4.005 1.343 1.959 -4.005" Properties=species:S:1:pos:R:3 comment="GGA-PBE LiNiAg, optimized geometry" magnetic_moment_mub_per_atom=0.00 sg=Imm2 pbc="T T T"
Li 0.000 0.000 0.000
Ni 0.000 0.000 5.320
Ag 0.000 0.000 2.621

***

Arrangement B

3
Lattice="0.000 2.936 2.936 2.936 0.000 2.936 2.936 2.936 0.000" Properties=species:S:1:pos:R:3 comment="GGA-PBE LiNiAg, optimized geometry" magnetic_moment_mub_per_atom=0.00 sg=F-43m pbc="T T T"
Li 0.000 0.000 0.000
Ni 4.404 4.404 4.404
Ag 2.936 2.936 2.936

***

Most stable structure: arrangement A

***

Arrangement A

3
Lattice="4.255 0.000 0.000 -2.128 3.685 0.000 0.000 0.000 2.657" Properties=species:S:1:pos:R:3 comment="GGA-PBE LiNiAg, optimized geometry" magnetic_moment_mub_per_atom=0.00 sg=P3m1 pbc="T T T"
Li 0.000 0.000 0.000
Ni 2.128 1.228 0.546
Ag 0.000 2.457 1.696

***

Arrangement B

3
Lattice="-1.366 1.366 5.704 1.366 -1.366 5.704 1.366 1.366 -5.704" Properties=species:S:1:pos:R:3 comment="GGA-PBE LiNiAg, optimized geometry" magnetic_moment_mub_per_atom=0.07 sg=I4mm pbc="T T T"
Li 0.000 0.000 0.000
Ni 0.000 0.000 3.982
Ag 0.000 0.000 7.773

***

Most stable structure: arrangement A